w.
# PBE Ac4AgIr2, optimized geometry
data_Ac4AgIr2
_chemical_formula_sum 'Ac32 Ag8 Ir16'
_symmetry_space_group_name_H-M 'F d d 2'
_symmetry_Int_Tables_number 43
_symmetry_space_group_name_Hall 'F 2 -2d'
_cell_length_a 13.8188
_cell_length_b 13.8224
_cell_length_c 10.1644
_cell_angle_alpha 90.00
_cell_angle_beta 90.00
_cell_angle_gamma 90.00
loop_
_atom_site_label
_atom_site_type_symbol
_atom_site_fract_x
_atom_site_fract_y
_atom_site_fract_z
Ac1 Ac 0.0945 0.4048 0.0000
Ac2 Ac 0.0955 0.0947 0.1886
Ag1 Ag 0.0000 0.0000 0.8448
Ir1 Ir 0.1252 0.1244 0.4693
# **D(E_F)**: 30.50 states/eV per cell
# **Magnetization**: 0.00 μB per atom

x.
# PBE Ac4AgIr2, optimized geometry
data_Ac4AgIr2
_chemical_formula_sum 'Ac12 Ag3 Ir6'
_symmetry_space_group_name_H-M 'R -3 m'
_symmetry_Int_Tables_number 166
_symmetry_space_group_name_Hall '-R 3 2"'
_cell_length_a 4.4060
_cell_length_b 4.4060
_cell_length_c 43.8800
_cell_angle_alpha 90.00
_cell_angle_beta 90.00
_cell_angle_gamma 120.00
loop_
_atom_site_label
_atom_site_type_symbol
_atom_site_fract_x
_atom_site_fract_y
_atom_site_fract_z
Ac1 Ac 0.0000 0.0000 0.1232
Ac2 Ac 0.0000 0.0000 0.2822
Ag1 Ag 0.0000 0.0000 0.0000
Ir1 Ir 0.0000 0.0000 0.4216
# **D(E_F)**: 11.65 states/eV per cell
# **Magnetization**: 0.00 μB per atom

Relative energies, unit meV per atom: w 77; x 0